# MnCo2Mo

MnCo2Mo after structural relaxation (PBE-GGA, the Alexandria database).

Calculated values
Its offset from the most stable computed form is 159 meV/atom. As for the volume: 12.22 A^3/atom. The spin magnetization is 3.3 μB/cell. Its space-group type is F-43m, No. 216. The value obtained for the calculated formation energy is 0.152 eV/atom.

Unit cell a=4.104 b=4.104 c=4.104 alpha=60.00 beta=60.00 gamma=60.00
Site moments in Bohr magnetons follow the coordinates.
Atoms (fractional coordinates):
Co (0.000, 0.000, 0.000)  0.41
Co (0.250, 0.250, 0.250)  1.37
Mn (0.500, 0.500, 0.500)  1.97
Mo (0.750, 0.750, 0.750)  -0.47